CrRuF3: optimized geometry, PBE+U.

Properties
The total magnetization is 0.0 μB/f.u. For the uncorrected energy, the calculation gives -4.5813 eV/atom. As for the distance to the lowest polymorph of the same formula: 0.798 eV/atom. For the calculated density, the calculation gives 5516 kg/m3.

Lattice parameters (Å, degrees): 3.984 3.984 3.984 90.00 90.00 90.00
Positions (direct):
Ru 0.500 0.500 0.500
F 0.000 0.500 0.000
F 0.000 0.000 0.500
F 0.500 0.000 0.000
Cr 0.000 0.000 0.000